Record 1
Compound: NaCr2W
Source: Alexandria via LeMat-Bulk
Functional: PBE
Structure: relaxed

Lattice parameters (Å, degrees): 7.0317 7.0317 5.8924 90.00 90.00 90.00
Last column: nearest neighbours and their distance in Å.
Space group I-42d (No. 122)
One atom of each set of equivalent atoms:
Na  0.0000  0.0000  0.0000 x4  4 Cr 2.75, 2 W 2.95
Cr  0.2185  0.2500  0.6250 x8  2 W 2.45
W  0.0000  0.0000  0.5000 x4  4 Cr 2.45

Summary:
Electronic total energy   -7.010 eV/atom
Relative energy among the computed polymorphs   164 kJ/mol of formula units

Record 2
Compound: NaCr2W
Source: Alexandria via LeMat-Bulk
Functional: PBE
Structure: relaxed

Lattice parameters (Å, degrees): 6.2947 6.2947 6.2947 90.00 90.00 90.00
Last column: nearest neighbours and their distance in Å.
Space group Fm-3m (No. 225)
One atom of each set of equivalent atoms:
Na  0.0000  0.0000  0.0000 x4  8 Cr 2.73
Cr  0.2500  0.2500  0.2500 x8  4 W 2.73, 4 Na 2.73
W  0.0000  0.0000  0.5000 x4  8 Cr 2.73

Summary:
Electronic total energy   -7.434 eV/atom
Relative energy among the computed polymorphs   0 kJ/mol of formula units

Record 3
Compound: Na2CrW
Source: Alexandria via LeMat-Bulk
Functional: PBE
Structure: relaxed

Lattice parameters (Å, degrees): 8.3564 8.3564 4.9827 90.00 90.00 90.00
Last column: nearest neighbours and their distance in Å.
Space group I-42d (No. 122)
One atom of each set of equivalent atoms:
Na  0.2283  0.7500  0.1250 x8  2 Na 2.52
Cr  0.0000  0.0000  0.0000 x4  2 W 2.49
W  0.0000  0.0000  0.5000 x4  2 Cr 2.49

Summary:
Electronic total energy   -4.700 eV/atom
Relative energy among the computed polymorphs   0 kJ/mol of formula units

Record 4
Compound: NaCrW2
Source: Alexandria via LeMat-Bulk
Functional: PBE
Structure: relaxed

Lattice parameters (Å, degrees): 3.7900 3.7900 19.9409 90.00 90.00 90.00
Last column: nearest neighbours and their distance in Å.
Space group I-42d (No. 122)
One atom of each set of equivalent atoms:
Na  0.0000  0.0000  0.0000 x4  4 Cr 2.68, 4 W 2.85
Cr  0.0000  0.0000  0.5000 x4  4 Na 2.68, 4 W 2.81
W  0.2315  0.2500  0.6250 x8  4 W 2.58-2.78, 2 Cr 2.81, 2 Na 2.85

Summary:
Electronic total energy   -7.810 eV/atom
Relative energy among the computed polymorphs   97 kJ/mol of formula units